# 1
First-principles (PBE-GGA) data for a relaxed LaAgIr2 crystal, as listed in Alexandria via LeMat-Bulk.

```
LaAgIr2
1.0
4.820 -1.560 0.000
4.820 1.560 0.000
-1.138 0.000 5.186
La Ag Ir
1 1 2
direct
0.000 0.000 0.000
0.500 0.500 0.500
0.246 0.246 0.705
0.754 0.754 0.295
```

## Properties
- DOS at the Fermi energy: 0.6524 states/eV per atom
- Size of the total moment: 0.0 μB per formula unit
- Energy of formation: 34 kJ/mol of formula units
- E_tot: -6.287 eV per atom

***

# 2
First-principles (PBE-GGA) data for a relaxed Th2MnNbN5 crystal, as listed in Alexandria via LeMat-Bulk.

```
Th2MnNbN5
1.0
1.678 -6.896 0.000
1.678 6.896 0.000
0.000 0.000 10.126
Th Mn Nb N
4 2 2 10
direct
0.121 0.879 0.500
0.135 0.865 0.135
0.865 0.135 0.635
0.879 0.121 0.000
0.448 0.552 0.264
0.552 0.448 0.764
0.193 0.807 0.827
0.807 0.193 0.327
0.031 0.969 0.840
0.299 0.701 0.475
0.318 0.682 0.181
0.344 0.656 0.819
0.500 0.500 0.099
0.500 0.500 0.599
0.656 0.344 0.319
0.682 0.318 0.681
0.701 0.299 0.975
0.969 0.031 0.340
```

## Properties
- DOS at the Fermi energy: 0.3200 states/eV per atom
- Formation energy without anion corrections: -1127 meV/atom
- Size of the total moment: 0.8 μB per formula unit
- E_tot: -9.539 eV per atom

***

# 3
First-principles (PBE-GGA) data for a relaxed KZrIn crystal, as listed in Alexandria via LeMat-Bulk.

```
KZrIn
1.0
-1.563 2.362 6.709
1.563 -2.362 6.709
1.563 2.362 -6.709
K Zr In
1 1 1
direct
0.000 0.000 0.000
0.723 0.723 0.000
0.300 0.300 0.000
```

## Properties
- DOS at the Fermi energy: 0.7718 states/eV per atom
- Size of the total moment: 0.9 μB per formula unit
- Energy of formation: 89 kJ/mol of formula units
- E_tot: -3.819 eV per atom

***

# 4
First-principles (PBE-GGA) data for a relaxed Sm2Pu3PaSe6 crystal, as listed in Alexandria via LeMat-Bulk.

```
Sm2Pu3PaSe6
1.0
9.007 -2.055 0.000
9.007 2.055 0.000
-1.905 0.000 8.110
Sm Pu Pa Se
2 3 1 6
direct
0.166 0.166 0.334
0.834 0.834 0.666
0.167 0.167 0.836
0.500 0.500 0.500
0.833 0.833 0.164
0.500 0.500 0.000
0.001 0.001 0.750
0.333 0.333 0.918
0.334 0.334 0.413
0.666 0.666 0.587
0.667 0.667 0.082
0.999 0.999 0.250
```

## Properties
- DOS at the Fermi energy: 2.2695 states/eV per atom
- Formation energy without anion corrections: -1576 meV/atom
- Size of the total moment: 18.3 μB per formula unit
- E_tot: -8.479 eV per atom

***

> Among the records above, which one has the highest DOS at the Fermi energy?

Sm2Pu3PaSe6